A relaxed YAgPt2Se crystal. Source: Alexandria, functional PBE.

Cell lengths 5.1609, 5.3702, 5.1609 Å; angles 90.00, 90.00, 90.00 degrees
Fractional positions:
1 Y 0.0000 0.0000 0.0000
2 Se 0.0000 0.5000 0.0000
3 Ag 0.5000 0.5000 0.5000
4 Pt 0.0000 0.0000 0.5000
5 Pt 0.5000 0.0000 0.0000

Summary:
Formation energy from raw total energies (eV/f.u.): 2.8
Volume (Å³/atom): 28.61
D(E_F) (states/eV/atom): 0.5588
ρ (g/cm³): 7.7
Space-group type: P4/mmm, No. 123
Size of the total moment (μB/cell): 0.00

---

A relaxed LiCa2Cr crystal. Source: Alexandria, functional PBE.

Cell lengths 6.2042, 6.2042, 6.2042 Å; angles 135.74, 135.74, 64.39 degrees
Each line ends with the local moment (μB).
Fractional positions:
1 Ca 0.0000 0.0000 0.0000  0.02
2 Ca 0.2500 0.7500 0.5000  0.01
3 Cr 0.5000 0.5000 0.0000  3.96
4 Li 0.7500 0.2500 0.5000  -0.01

Summary:
Volume (Å³/atom): 28.68
D(E_F) (states/eV/atom): 0.6943
ρ (g/cm³): 2.0
Formation energy (eV per atom): 0.41
Space-group type: I-4m2, No. 119
Size of the total moment (μB/cell): 4.83

---

A relaxed Nd6HgS4 crystal. Source: Alexandria, functional PBE.

Cell lengths 4.0902, 7.0932, 20.9508 Å; angles 90.00, 90.00, 106.76 degrees
Each line ends with the local moment (μB).
Fractional positions:
1 Nd 0.5000 0.0000 0.0000  0.00
2 Nd 0.5000 0.0000 0.5000  0.00
3 Nd 0.0393 0.0786 0.3414  0.06
4 Nd 0.9607 0.9214 0.6586  0.06
5 Nd 0.9607 0.9214 0.8414  0.06
6 Nd 0.0393 0.0786 0.1586  0.06
7 Nd 0.7719 0.5437 0.4186  0.00
8 Nd 0.2281 0.4563 0.5814  0.00
9 Nd 0.2281 0.4563 0.9186  0.00
10 Nd 0.7719 0.5437 0.0814  0.00
11 Nd 0.3342 0.6684 0.2500  0.07
12 Nd 0.6658 0.3316 0.7500  0.07
13 Hg 0.6577 0.3154 0.2500  0.00
14 Hg 0.3423 0.6846 0.7500  0.00
15 S 0.8635 0.7269 0.5403  0.00
16 S 0.4051 0.8103 0.1229  0.00
17 S 0.1365 0.2731 0.4597  0.00
18 S 0.5949 0.1897 0.8771  0.00
19 S 0.8635 0.7269 0.9597  0.00
20 S 0.1365 0.2731 0.0403  0.00
21 S 0.5949 0.1897 0.6229  0.00
22 S 0.4051 0.8103 0.3771  0.00

Summary:
Formation energy from raw total energies (eV/f.u.): -17.3
Volume (Å³/atom): 26.46
D(E_F) (states/eV/atom): 0.5799
ρ (g/cm³): 6.8
Space-group type: Cmcm, No. 63
Size of the total moment (μB/cell): 1.04